PBE Zn2FeGePd4, optimized geometry; electronic total energy = -4.86 eV per atom
1.0
4.474 0.000 0.000
0.000 4.474 0.000
0.000 0.000 5.856
Zn Fe Ge Pd
2 1 1 4
Direct
0.000 0.000 0.000
0.500 0.500 0.500
0.000 0.000 0.500
0.500 0.500 0.000
0.000 0.500 0.248
0.000 0.500 0.752
0.500 0.000 0.248
0.500 0.000 0.752